No. 1
Entry from Alexandria: an optimized crystal structure of Er6Sb3AsS2 (PBE).

Properties
Calculated volume (A^3/atom): 25.301
Symmetry: C2/m
Crystal system: monoclinic
Raw total energy (eV/f.u.): -69.8
Formation energy without anion corrections (kJ/mol of atoms): -137.68

a b c (Å): 7.179 7.179 7.212
angles (deg): 99.52 99.52 120.04
Fractional coordinates of all 12 atoms:
Er 0.923 0.589 0.770
Er 0.258 0.258 0.771
S 0.333 0.667 0.000
S 0.667 0.333 0.000
As 0.000 0.000 0.000
Er 0.742 0.742 0.229
Sb 0.834 0.166 0.500
Er 0.411 0.077 0.230
Er 0.077 0.411 0.230
Sb 0.166 0.834 0.500
Sb 0.500 0.500 0.500
Er 0.589 0.923 0.770

No. 2
Entry from Alexandria: an optimized crystal structure of HCl (PBE).

Properties
Calculated volume (A^3/atom): 24.008
Symmetry: Pmn2_1
Crystal system: orthorhombic
Raw total energy (eV/f.u.): -6.1

a b c (Å): 6.840 4.963 8.486
angles (deg): 90.00 90.00 90.00
Fractional coordinates of all 12 atoms:
H 0.845 0.261 0.717
Cl 0.000 0.438 0.632
Cl 0.774 0.951 0.318
Cl 0.226 0.951 0.318
H 0.345 0.739 0.217
H 0.155 0.261 0.717
Cl 0.274 0.049 0.818
H 0.000 0.917 0.301
H 0.655 0.739 0.217
Cl 0.500 0.562 0.132
H 0.500 0.083 0.801
Cl 0.726 0.049 0.818

raw total energy of number 2 (HCl)?
-6.1 eV/f.u.

What did the second record say?
Entry from Alexandria: an optimized crystal structure of HCl (PBE).

Properties
Calculated volume (A^3/atom): 24.008
Symmetry: Pmn2_1
Crystal system: orthorhombic
Raw total energy (eV/f.u.): -6.1

a b c (Å): 6.840 4.963 8.486
angles (deg): 90.00 90.00 90.00
Fractional coordinates of all 12 atoms:
H 0.845 0.261 0.717
Cl 0.000 0.438 0.632
Cl 0.774 0.951 0.318
Cl 0.226 0.951 0.318
H 0.345 0.739 0.217
H 0.155 0.261 0.717
Cl 0.274 0.049 0.818
H 0.000 0.917 0.301
H 0.655 0.739 0.217
Cl 0.500 0.562 0.132
H 0.500 0.083 0.801
Cl 0.726 0.049 0.818

Number 1 is which compound?
Er6Sb3AsS2

Repeat the first record exactly.
Entry from Alexandria: an optimized crystal structure of Er6Sb3AsS2 (PBE).

Properties
Calculated volume (A^3/atom): 25.301
Symmetry: C2/m
Crystal system: monoclinic
Raw total energy (eV/f.u.): -69.8
Formation energy without anion corrections (kJ/mol of atoms): -137.68

a b c (Å): 7.179 7.179 7.212
angles (deg): 99.52 99.52 120.04
Fractional coordinates of all 12 atoms:
Er 0.923 0.589 0.770
Er 0.258 0.258 0.771
S 0.333 0.667 0.000
S 0.667 0.333 0.000
As 0.000 0.000 0.000
Er 0.742 0.742 0.229
Sb 0.834 0.166 0.500
Er 0.411 0.077 0.230
Er 0.077 0.411 0.230
Sb 0.166 0.834 0.500
Sb 0.500 0.500 0.500
Er 0.589 0.923 0.770